Entry 1:
First-principles (PBE) data for a geometry-optimized Rb7Th6F32 structure, as listed in Alexandria.

The structure in CIF format:
```
data_Rb7Th6F32
_space_group_name_H-M_alt 'R -3'
_space_group_IT_number 148
_space_group_name_Hall '-R 3'
_cell_length_a 15.7076
_cell_length_b 15.7076
_cell_length_c 11.0360
_cell_angle_alpha 90.00
_cell_angle_beta 90.00
_cell_angle_gamma 120.00
loop_
_atom_site_label
_atom_site_type_symbol
_atom_site_fract_x
_atom_site_fract_y
_atom_site_fract_z
_atom_site_occupancy
Rb1 Rb 0.0000 0.0000 0.0000 1
Rb2 Rb 0.0212 0.4398 0.6593 1
Th1 Th 0.0552 0.8686 0.3249 1
F1 F 0.0000 0.0000 0.4114 1
F2 F 0.0191 0.4504 0.9270 1
F3 F 0.0394 0.9028 0.7315 1
F4 F 0.0429 0.1984 0.4972 1
F5 F 0.0469 0.4290 0.4003 1
F6 F 0.0550 0.8733 0.1204 1
```

Summary:
Calculated total energy: -6.169 eV/atom
Raw formation energy: -3.70 eV per atom
V: 17.5 Å³/atom

Entry 2:
First-principles (PBE) data for a geometry-optimized Ti6HAu2N structure, as listed in Alexandria.

The structure in CIF format:
```
data_Ti6HAu2N
_space_group_name_H-M_alt 'F m -3 m'
_space_group_IT_number 225
_space_group_name_Hall '-F 4 2 3'
_cell_length_a 8.2402
_cell_length_b 8.2402
_cell_length_c 8.2402
_cell_angle_alpha 90.00
_cell_angle_beta 90.00
_cell_angle_gamma 90.00
loop_
_atom_site_label
_atom_site_type_symbol
_atom_site_fract_x
_atom_site_fract_y
_atom_site_fract_z
_atom_site_occupancy
Ti1 Ti 0.0000 0.0000 0.2500 1
H1 H 0.0000 0.0000 0.0000 1
Au1 Au 0.2500 0.2500 0.2500 1
N1 N 0.0000 0.0000 0.5000 1
```

Summary:
Calculated total energy: -7.222 eV/atom
V: 14.0 Å³/atom

Entry 3:
First-principles (PBE) data for a geometry-optimized Ho2Th3Ru2 structure, as listed in Alexandria.

The structure in CIF format:
```
data_Ho2Th3Ru2
_space_group_name_H-M_alt 'C 1 2/m 1'
_space_group_IT_number 12
_cell_length_a 11.6468
_cell_length_b 3.8433
_cell_length_c 8.8947
_cell_angle_alpha 90.00
_cell_angle_beta 109.26
_cell_angle_gamma 90.00
loop_
_space_group_symop_operation_xyz
'x,y,z'
'-x,-y,-z'
'-x,y,-z'
'x,-y,z'
'x+1/2,y+1/2,z'
'-x+1/2,-y+1/2,-z'
'-x+1/2,y+1/2,-z'
'x+1/2,-y+1/2,z'
loop_
_atom_site_label
_atom_site_type_symbol
_atom_site_fract_x
_atom_site_fract_y
_atom_site_fract_z
_atom_site_occupancy
Ho1 Ho 0.1650 0.0000 0.2993 1
Th1 Th 0.0000 0.5000 0.5000 1
Th2 Th 0.1219 0.5000 0.9294 1
Ru1 Ru 0.1398 0.0000 0.7035 1
```

Summary:
Calculated total energy: -7.466 eV/atom
Energy relative to the elements: -328 meV/atom
V: 26.8 Å³/atom

Entry 4:
First-principles (PBE) data for a geometry-optimized Mg2TiFe structure, as listed in Alexandria.

The structure in CIF format:
```
data_Mg2TiFe
_space_group_name_H-M_alt 'I -4 2 d'
_space_group_IT_number 122
_space_group_name_Hall 'I -4 2bw'
_cell_length_a 3.7078
_cell_length_b 3.7078
_cell_length_c 19.8829
_cell_angle_alpha 90.00
_cell_angle_beta 90.00
_cell_angle_gamma 90.00
loop_
_atom_site_label
_atom_site_type_symbol
_atom_site_fract_x
_atom_site_fract_y
_atom_site_fract_z
_atom_site_occupancy
Mg1 Mg 0.2397 0.2500 0.1250 1
Ti1 Ti 0.0000 0.0000 0.5000 1
Fe1 Fe 0.0000 0.0000 0.0000 1
```

Summary:
Calculated total energy: -4.310 eV/atom
Energy relative to the elements: 577 meV/atom
V: 17.1 Å³/atom

Question: The lowest V belongs to which entry?
Answer: Ti6HAu2N